## In2TeIr (GGA-PBE)

Data for a geometry-optimized In2TeIr structure.

Properties
ΔE_f (raw) ... 349 meV per atom
Fermi-level density of states ... 0.77 states/eV per atom

a b c (Å): 6.0145 8.0634 3.6850
angles (deg): 90.00 97.70 90.00
Space group C2/m (No. 12)
Unique sites:
In  0.2500  0.2500  0.0000 [4 per cell]
Te  0.0000  0.0000  0.5000 [2 per cell]
Ir  0.0000  0.5000  0.5000 [2 per cell]

=====

## Ag2OsPb (GGA-PBE)

Data for a geometry-optimized Ag2OsPb structure.

Properties
Energy relative to the elements ... 3.406 eV/f.u.
Fermi-level density of states ... 0.59 states/eV per atom

a b c (Å): 3.9398 3.9398 20.7612
angles (deg): 90.00 90.00 90.00
Space group I-42d (No. 122)
Unique sites:
Ag  0.2369  0.2500  0.1250 [8 per cell]
Os  0.0000  0.0000  0.0000 [4 per cell]
Pb  0.0000  0.0000  0.5000 [4 per cell]

=====

## Ru2PtW (GGA-PBE)

Data for a geometry-optimized Ru2PtW structure.

Properties
Relative energy among the computed polymorphs ... 0.089 eV per atom
Energy relative to the elements ... -0.346 eV/f.u.
Fermi-level density of states ... 1.05 states/eV per atom

a b c (Å): 3.9484 3.9484 7.5904
angles (deg): 90.00 90.00 90.00
Space group I4/mmm (No. 139)
Unique sites:
Ru  0.0000  0.5000  0.2500 [4 per cell]
Pt  0.0000  0.0000  0.0000 [2 per cell]
W  0.0000  0.0000  0.5000 [2 per cell]

=====

## RbAlS2 (GGA-PBE)

Data for a geometry-optimized RbAlS2 structure.

Properties
ΔE_f (raw) ... -840 meV per atom
Fermi-level density of states ... 0.00 states/eV per atom

a b c (Å): 6.2614 6.2614 10.8121
angles (deg): 90.00 90.00 90.00
Space group I4_1/amd (No. 141, origin choice 2)
Unique sites:
Rb  0.0000  0.2500  0.3750 [4 per cell]
Al  0.0000  0.2500  0.8750 [4 per cell]
S  0.0000  0.2500  0.0757 [8 per cell]